Material: Y4Ho6Sc
Method: DFT, PBE
State: relaxed

Crystal system: orthorhombic
ΔE_f in eV/atom: 0.14
Relative energy among the computed polymorphs in meV/atom: 0.0

Unit cell a=5.551 b=5.551 c=25.494 alpha=90.00 beta=90.00 gamma=119.49
Sites, in units of the cell vectors:
Y  0.012  0.988  0.622
Y  0.012  0.988  0.878
Y  0.337  0.663  0.543
Y  0.337  0.663  0.957
Y  0.663  0.337  0.043
Y  0.663  0.337  0.457
Y  0.988  0.012  0.122
Y  0.988  0.012  0.378
Ho  0.000  0.000  0.000
Ho  0.000  0.000  0.500
Ho  0.009  0.991  0.750
Ho  0.323  0.677  0.107
Ho  0.323  0.677  0.393
Ho  0.344  0.656  0.683
Ho  0.344  0.656  0.817
Ho  0.656  0.344  0.183
Ho  0.656  0.344  0.317
Ho  0.677  0.323  0.607
Ho  0.677  0.323  0.893
Ho  0.991  0.009  0.250
Sc  0.325  0.675  0.250
Sc  0.675  0.325  0.750